[1]
Here is crystalline ZnAgHg2 at its relaxed geometry from OQMD. Energies are from PBE.

- E: -1.016 eV per atom

The structure in CIF format:
```
data_ZnAgHg2
_symmetry_space_group_name_H-M 'F -4 3 m'
_symmetry_Int_Tables_number 216
_symmetry_space_group_name_Hall 'F -4 2 3'
_cell_length_a 6.9146
_cell_length_b 6.9146
_cell_length_c 6.9146
_cell_angle_alpha 90.00
_cell_angle_beta 90.00
_cell_angle_gamma 90.00
loop_
_atom_site_label
_atom_site_fract_x
_atom_site_fract_y
_atom_site_fract_z
Zn1 0.0000 0.0000 0.0000
Ag1 0.2500 0.2500 0.7500
Hg1 0.0000 0.0000 0.5000
Hg2 0.2500 0.2500 0.2500
```

[2]
Here is crystalline PuAg4S4 at its relaxed geometry from OQMD. Energies are from PBE.

- E: -5.046 eV per atom
- Size of the total moment: 8.0 Bohr magnetons per cell

The structure in CIF format:
```
data_PuAg4S4
_symmetry_space_group_name_H-M 'I -4 2 m'
_symmetry_Int_Tables_number 121
_symmetry_space_group_name_Hall 'I -4 2'
_cell_length_a 6.3317
_cell_length_b 6.3317
_cell_length_c 11.1233
_cell_angle_alpha 90.00
_cell_angle_beta 90.00
_cell_angle_gamma 90.00
loop_
_atom_site_label
_atom_site_fract_x
_atom_site_fract_y
_atom_site_fract_z
Pu1 0.0000 0.0000 0.0000
Ag1 0.0000 0.0000 0.2888
Ag2 0.0000 0.5000 0.0000
S1 0.2408 0.2408 0.1230
```

[3]
Here is crystalline FeH13C12S2N at its relaxed geometry from OQMD. Energies are from PBE.

- E: -6.239 eV per atom
- Size of the total moment: 16.0 Bohr magnetons per cell

The structure in CIF format:
```
data_FeH13C12S2N
_symmetry_space_group_name_H-M 'C 1 c 1'
_symmetry_Int_Tables_number 9
_cell_length_a 25.6974
_cell_length_b 6.9566
_cell_length_c 7.2200
_cell_angle_alpha 90.00
_cell_angle_beta 96.55
_cell_angle_gamma 90.00
loop_
_symmetry_equiv_pos_as_xyz
'x,y,z'
'x,-y,z+1/2'
'x+1/2,y+1/2,z'
'x+1/2,-y+1/2,z+1/2'
loop_
_atom_site_label
_atom_site_fract_x
_atom_site_fract_y
_atom_site_fract_z
Fe1 0.0000 0.0087 0.0000
H1 0.0528 0.3540 0.3986
H2 0.1219 0.3954 0.9388
H3 0.1606 0.0371 0.6803
H4 0.2115 0.4677 0.8562
H5 0.2302 0.2149 0.2195
H6 0.2413 0.2441 0.6630
H7 0.2686 0.0161 0.9245
H8 0.3060 0.4817 0.5683
H9 0.3589 0.0209 0.0819
H10 0.3962 0.4912 0.7287
H11 0.4288 0.2408 0.5856
H12 0.4431 0.2113 0.3673
H13 0.4797 0.1121 0.5427
C1 0.0918 0.3240 0.3603
C2 0.1027 0.1423 0.2897
C3 0.1308 0.4638 0.3836
C4 0.1526 0.1033 0.2382
C5 0.1808 0.4237 0.3359
C6 0.1915 0.2445 0.2612
C7 0.2811 0.2470 0.7339
C8 0.2966 0.1190 0.8792
C9 0.3174 0.3796 0.6803
C10 0.3477 0.1211 0.9678
C11 0.3685 0.3840 0.7698
C12 0.3846 0.2534 0.9138
S1 0.0545 0.0413 0.7694
S2 0.4486 0.2512 0.0330
N1 0.4590 0.2350 0.5037
```

Question: The highest E belongs to which entry?
Answer: ZnAgHg2

Question: What is the E in the third record?
Answer: -6.239 eV per atom

Question: What is the E in the first record?
Answer: -1.016 eV per atom

Please write out number 1 again, unchanged.
Here is crystalline ZnAgHg2 at its relaxed geometry from OQMD. Energies are from PBE.

- E: -1.016 eV per atom

The structure in CIF format:
```
data_ZnAgHg2
_symmetry_space_group_name_H-M 'F -4 3 m'
_symmetry_Int_Tables_number 216
_symmetry_space_group_name_Hall 'F -4 2 3'
_cell_length_a 6.9146
_cell_length_b 6.9146
_cell_length_c 6.9146
_cell_angle_alpha 90.00
_cell_angle_beta 90.00
_cell_angle_gamma 90.00
loop_
_atom_site_label
_atom_site_fract_x
_atom_site_fract_y
_atom_site_fract_z
Zn1 0.0000 0.0000 0.0000
Ag1 0.2500 0.2500 0.7500
Hg1 0.0000 0.0000 0.5000
Hg2 0.2500 0.2500 0.2500
```